ZrAs2Pb | SCAN | PBEsol geometry

abc: 3.586 3.787 7.386
angles: 104.85 104.05 90.00
Fractional positions:
Pb 0.458 0.458 0.917
Zr 0.710 0.210 0.419
As 0.269 0.769 0.539
As 0.063 0.063 0.126

Properties
- Total magnetic moment: 0.000 μB per formula unit
- ΔH_f (0 K): -468 meV per atom
- Density: 7.93 g/cm³
- Crystal system: orthorhombic